Below is a relaxed structure of ThAlZn2Au, with properties calculated at the PBE level.

The structure belongs to space group Imm2 (No. 44); the cell edges are 4.3500, 4.3771 and 10.4299 Å and the angles 90.00°, 90.00° and 90.00°. Symmetry generates all atoms from Th at (0.0000, 0.0000, 0.0000), Al at (0.0000, 0.0000, 0.3807), Zn at (0.0000, 0.0000, 0.6149), Zn at (0.0000, 0.5000, 0.2469) and Au at (0.0000, 0.5000, 0.7529).

Its spin magnetization is 0.00 μB per formula unit. Its formation energy is -438 meV per atom. The value obtained for the total energy is -3.8360 eV/atom.